Entry 1:
VASP calculation (PBE-GGA) on crystalline Ta2ReB at its relaxed geometry.

Cell: 4.3570 4.3570 4.3570 Å, 60.00 60.00 60.00°
Last column: nearest neighbours and their distance in Å.
Sites, in units of the cell vectors:
Ta 0.0000 0.0000 0.0000  4 Ta 2.67, 4 Re 2.67
Ta 0.2500 0.2500 0.2500  4 B 2.67, 4 Ta 2.67
Re 0.7500 0.7500 0.7500  4 Ta 2.67, 4 B 2.67
B 0.5000 0.5000 0.5000  4 Re 2.67, 4 Ta 2.67

Summary:
- M_tot: 0.21 Bohr magnetons per cell
- SG: F-43m
- E: -10.151 eV/atom

***

Entry 2:
VASP calculation (PBE-GGA) on crystalline TbReB4 at its relaxed geometry.

Cell: 4.7236 4.7236 4.7236 Å, 140.96 110.49 82.72°
Last column: nearest neighbours and their distance in Å.
Sites, in units of the cell vectors:
Tb 0.0000 0.0000 0.0000  12 B 2.53-2.54
Re 0.5000 0.5000 0.0000  12 B 2.53-2.54
B 0.0878 0.7513 0.3366  3 B 1.76-1.83
B 0.4147 0.7513 0.6634  3 B 1.76-1.83
B 0.5853 0.2487 0.3366  3 B 1.76-1.83
B 0.9122 0.2487 0.6634  3 B 1.76-1.83

Summary:
- M_tot: 0.00 Bohr magnetons per cell
- SG: Immm
- E: -7.527 eV/atom

***

Entry 3:
VASP calculation (PBE-GGA) on crystalline TbReB4 at its relaxed geometry.

Cell: 5.9765 11.5634 3.6174 Å, 90.00 90.00 90.00°
Last column: nearest neighbours and their distance in Å.
Sites, in units of the cell vectors:
Tb 0.1262 0.1505 0.0000  14 B 2.67-2.81
Tb 0.3738 0.6505 0.0000  14 B 2.67-2.81
Tb 0.6262 0.3495 0.0000  14 B 2.67-2.81
Tb 0.8738 0.8495 0.0000  14 B 2.67-2.81
Re 0.1325 0.4131 0.0000  10 B 2.32-2.39, 1 Re 2.56
Re 0.3675 0.9131 0.0000  10 B 2.32-2.39, 1 Re 2.56
Re 0.6325 0.0869 0.0000  10 B 2.32-2.39, 1 Re 2.56
Re 0.8675 0.5869 0.0000  10 B 2.32-2.39, 1 Re 2.56
B 0.0231 0.6919 0.5000  3 B 1.76-1.86
B 0.1138 0.5472 0.5000  3 B 1.74-1.76
B 0.1366 0.9684 0.5000  3 B 1.75-1.83
B 0.2129 0.8153 0.5000  3 B 1.82-1.86
B 0.2871 0.3153 0.5000  3 B 1.82-1.86
B 0.3634 0.4684 0.5000  3 B 1.75-1.83
B 0.3862 0.0472 0.5000  3 B 1.74-1.76
B 0.4769 0.1919 0.5000  3 B 1.76-1.86
B 0.5231 0.8081 0.5000  3 B 1.76-1.86
B 0.6138 0.9528 0.5000  3 B 1.74-1.76
B 0.6366 0.5316 0.5000  3 B 1.75-1.83
B 0.7129 0.6847 0.5000  3 B 1.82-1.86
B 0.7871 0.1847 0.5000  3 B 1.82-1.86
B 0.8634 0.0316 0.5000  3 B 1.75-1.83
B 0.8862 0.4528 0.5000  3 B 1.74-1.76
B 0.9769 0.3081 0.5000  3 B 1.76-1.86

Summary:
- M_tot: 0.00 Bohr magnetons per cell
- SG: Pbam
- E: -7.875 eV/atom